Entry 1
# Zr2GeAu2 (PBE-GGA, relaxed)
# **Space-group type**: No. 127
# **Density**: 10.6 Mg/m³
# **Size of the total moment**: 0.00 μB per formula unit
data_Zr2GeAu2
_space_group_name_H-M_alt 'P 1'
_space_group_IT_number 1
_space_group_name_Hall 'P 1'
_cell_length_a 7.050
_cell_length_b 7.050
_cell_length_c 4.073
_cell_angle_alpha 90.00
_cell_angle_beta 90.00
_cell_angle_gamma 90.00
loop_
_atom_site_label
_atom_site_type_symbol
_atom_site_fract_x
_atom_site_fract_y
_atom_site_fract_z
Zr1 Zr 0.168 0.332 0.000
Zr2 Zr 0.332 0.832 0.000
Zr3 Zr 0.668 0.168 0.000
Zr4 Zr 0.832 0.668 0.000
Ge1 Ge 0.000 0.000 0.500
Ge2 Ge 0.500 0.500 0.500
Au1 Au 0.136 0.636 0.500
Au2 Au 0.364 0.136 0.500
Au3 Au 0.636 0.864 0.500
Au4 Au 0.864 0.364 0.500

***

Entry 2
# Zr2GeAu2 (PBE-GGA, relaxed)
# **Space-group type**: No. 139
# **Density**: 9.1 Mg/m³
# **Size of the total moment**: 0.00 μB per formula unit
data_Zr2GeAu2
_space_group_name_H-M_alt 'P 1'
_space_group_IT_number 1
_space_group_name_Hall 'P 1'
_cell_length_a 6.624
_cell_length_b 6.624
_cell_length_c 6.624
_cell_angle_alpha 140.24
_cell_angle_beta 140.24
_cell_angle_gamma 57.49
loop_
_atom_site_label
_atom_site_type_symbol
_atom_site_fract_x
_atom_site_fract_y
_atom_site_fract_z
Zr1 Zr 0.250 0.750 0.500
Zr2 Zr 0.750 0.250 0.500
Ge1 Ge 0.000 0.000 0.000
Au1 Au 0.389 0.389 0.000
Au2 Au 0.611 0.611 0.000

***

Going by the energies, entry 1 is most stable and the next is 40.1 kJ/mol of atoms up.

***

Entry 1
# Zr2GeAu2 (PBE-GGA, relaxed)
# **Space-group type**: No. 139
# **Density**: 10.1 Mg/m³
# **Size of the total moment**: 1.27 μB per formula unit
data_Zr2GeAu2
_space_group_name_H-M_alt 'P 1'
_space_group_IT_number 1
_space_group_name_Hall 'P 1'
_cell_length_a 8.044
_cell_length_b 8.044
_cell_length_c 8.044
_cell_angle_alpha 153.11
_cell_angle_beta 153.11
_cell_angle_gamma 38.39
loop_
_atom_site_label
_atom_site_type_symbol
_atom_site_fract_x
_atom_site_fract_y
_atom_site_fract_z
Zr1 Zr 0.096 0.096 0.000
Zr2 Zr 0.904 0.904 0.000
Ge1 Ge 0.500 0.500 0.000
Au1 Au 0.250 0.750 0.500
Au2 Au 0.750 0.250 0.500

***

Entry 2
# Zr2GeAu2 (PBE-GGA, relaxed)
# **Space-group type**: No. 127
# **Density**: 10.2 Mg/m³
# **Size of the total moment**: 0.00 μB per formula unit
data_Zr2GeAu2
_space_group_name_H-M_alt 'P 1'
_space_group_IT_number 1
_space_group_name_Hall 'P 1'
_cell_length_a 7.511
_cell_length_b 7.511
_cell_length_c 3.762
_cell_angle_alpha 90.00
_cell_angle_beta 90.00
_cell_angle_gamma 90.00
loop_
_atom_site_label
_atom_site_type_symbol
_atom_site_fract_x
_atom_site_fract_y
_atom_site_fract_z
Zr1 Zr 0.167 0.333 0.000
Zr2 Zr 0.333 0.833 0.000
Zr3 Zr 0.667 0.167 0.000
Zr4 Zr 0.833 0.667 0.000
Ge1 Ge 0.000 0.000 0.000
Ge2 Ge 0.500 0.500 0.000
Au1 Au 0.133 0.633 0.500
Au2 Au 0.367 0.133 0.500
Au3 Au 0.633 0.867 0.500
Au4 Au 0.867 0.367 0.500

***

Going by the energies, entry 2 is most stable and the next is 17.1 kJ/mol of atoms up.

***

Entry 1
# ZrGe3Au (PBE-GGA, relaxed)
# **Space-group type**: No. 221
# **Density**: 6.9 Mg/m³
# **Size of the total moment**: 0.00 μB per formula unit
data_ZrGe3Au
_space_group_name_H-M_alt 'P 1'
_space_group_IT_number 1
_space_group_name_Hall 'P 1'
_cell_length_a 4.952
_cell_length_b 4.952
_cell_length_c 4.952
_cell_angle_alpha 90.00
_cell_angle_beta 90.00
_cell_angle_gamma 90.00
loop_
_atom_site_label
_atom_site_type_symbol
_atom_site_fract_x
_atom_site_fract_y
_atom_site_fract_z
Zr1 Zr 0.000 0.000 0.000
Ge1 Ge 0.000 0.500 0.500
Ge2 Ge 0.500 0.000 0.500
Ge3 Ge 0.500 0.500 0.000
Au1 Au 0.500 0.500 0.500

***

Entry 2
# ZrGe3Au (PBE-GGA, relaxed)
# **Space-group type**: No. 221
# **Density**: 6.0 Mg/m³
# **Size of the total moment**: 0.00 μB per formula unit
data_ZrGe3Au
_space_group_name_H-M_alt 'P 1'
_space_group_IT_number 1
_space_group_name_Hall 'P 1'
_cell_length_a 5.198
_cell_length_b 5.198
_cell_length_c 5.198
_cell_angle_alpha 90.00
_cell_angle_beta 90.00
_cell_angle_gamma 90.00
loop_
_atom_site_label
_atom_site_type_symbol
_atom_site_fract_x
_atom_site_fract_y
_atom_site_fract_z
Zr1 Zr 0.000 0.000 0.000
Ge1 Ge 0.000 0.000 0.500
Ge2 Ge 0.000 0.500 0.000
Ge3 Ge 0.500 0.000 0.000
Au1 Au 0.500 0.500 0.500

***

Going by the energies, entry 2 is most stable and the next is 1.7 kJ/mol of atoms up.

***

Entry 1
# Hf2HAu2 (PBE-GGA, relaxed)
# **Space-group type**: No. 127
# **Density**: 14.2 Mg/m³
# **Size of the total moment**: 0.00 μB per formula unit
data_Hf2HAu2
_space_group_name_H-M_alt 'P 1'
_space_group_IT_number 1
_space_group_name_Hall 'P 1'
_cell_length_a 6.141
_cell_length_b 6.141
_cell_length_c 4.652
_cell_angle_alpha 90.00
_cell_angle_beta 90.00
_cell_angle_gamma 90.00
loop_
_atom_site_label
_atom_site_type_symbol
_atom_site_fract_x
_atom_site_fract_y
_atom_site_fract_z
Hf1 Hf 0.168 0.332 0.000
Hf2 Hf 0.332 0.832 0.000
Hf3 Hf 0.668 0.168 0.000
Hf4 Hf 0.832 0.668 0.000
H1 H 0.000 0.000 0.000
H2 H 0.500 0.500 0.000
Au1 Au 0.158 0.658 0.500
Au2 Au 0.342 0.158 0.500
Au3 Au 0.658 0.842 0.500
Au4 Au 0.842 0.342 0.500

***

Entry 2
# Hf2HAu2 (PBE-GGA, relaxed)
# **Space-group type**: No. 36
# **Density**: 15.1 Mg/m³
# **Size of the total moment**: 0.00 μB per formula unit
data_Hf2HAu2
_space_group_name_H-M_alt 'P 1'
_space_group_IT_number 1
_space_group_name_Hall 'P 1'
_cell_length_a 5.656
_cell_length_b 5.656
_cell_length_c 9.017
_cell_angle_alpha 90.00
_cell_angle_beta 90.00
_cell_angle_gamma 145.03
loop_
_atom_site_label
_atom_site_type_symbol
_atom_site_fract_x
_atom_site_fract_y
_atom_site_fract_z
Hf1 Hf 0.045 0.955 0.500
Hf2 Hf 0.344 0.656 0.284
Hf3 Hf 0.656 0.344 0.784
Hf4 Hf 0.955 0.045 0.000
H1 H 0.101 0.899 0.703
H2 H 0.899 0.101 0.203
Au1 Au 0.229 0.771 0.008
Au2 Au 0.394 0.606 0.737
Au3 Au 0.606 0.394 0.237
Au4 Au 0.771 0.229 0.508

***

Going by the energies, entry 2 is most stable and the next is 20.1 kJ/mol of atoms up.

***

Entry 1
# HfHAu3 (PBE-GGA, relaxed)
# **Space-group type**: No. 221
# **Density**: 16.2 Mg/m³
# **Size of the total moment**: 0.00 μB per formula unit
data_HfHAu3
_space_group_name_H-M_alt 'P 1'
_space_group_IT_number 1
_space_group_name_Hall 'P 1'
_cell_length_a 4.293
_cell_length_b 4.293
_cell_length_c 4.293
_cell_angle_alpha 90.00
_cell_angle_beta 90.00
_cell_angle_gamma 90.00
loop_
_atom_site_label
_atom_site_type_symbol
_atom_site_fract_x
_atom_site_fract_y
_atom_site_fract_z
Hf1 Hf 0.000 0.000 0.000
H1 H 0.500 0.500 0.500
Au1 Au 0.000 0.500 0.500
Au2 Au 0.500 0.000 0.500
Au3 Au 0.500 0.500 0.000

***

Entry 2
# HfHAu3 (PBE-GGA, relaxed)
# **Space-group type**: No. 221
# **Density**: 8.5 Mg/m³
# **Size of the total moment**: 0.72 μB per formula unit
data_HfHAu3
_space_group_name_H-M_alt 'P 1'
_space_group_IT_number 1
_space_group_name_Hall 'P 1'
_cell_length_a 5.314
_cell_length_b 5.314
_cell_length_c 5.314
_cell_angle_alpha 90.00
_cell_angle_beta 90.00
_cell_angle_gamma 90.00
loop_
_atom_site_label
_atom_site_type_symbol
_atom_site_fract_x
_atom_site_fract_y
_atom_site_fract_z
Hf1 Hf 0.000 0.000 0.000
H1 H 0.500 0.500 0.500
Au1 Au 0.000 0.000 0.500
Au2 Au 0.000 0.500 0.000
Au3 Au 0.500 0.000 0.000

***

Going by the energies, entry 1 is most stable and the next is 85.6 kJ/mol of atoms up.

***

Entry 1
# HfNi2HAu (PBE-GGA, relaxed)
# **Space-group type**: No. 123
# **Density**: 13.1 Mg/m³
# **Size of the total moment**: 0.00 μB per formula unit
data_HfNi2HAu
_space_group_name_H-M_alt 'P 1'
_space_group_IT_number 1
_space_group_name_Hall 'P 1'
_cell_length_a 3.949
_cell_length_b 3.949
_cell_length_c 4.011
_cell_angle_alpha 90.00
_cell_angle_beta 90.00
_cell_angle_gamma 90.00
loop_
_atom_site_label
_atom_site_type_symbol
_atom_site_fract_x
_atom_site_fract_y
_atom_site_fract_z
Hf1 Hf 0.000 0.000 0.000
Ni1 Ni 0.000 0.500 0.500
Ni2 Ni 0.500 0.000 0.500
H1 H 0.000 0.000 0.500
Au1 Au 0.500 0.500 0.000

***

Entry 2
# HfNi2HAu (PBE-GGA, relaxed)
# **Space-group type**: No. 123
# **Density**: 7.4 Mg/m³
# **Size of the total moment**: 1.43 μB per formula unit
data_HfNi2HAu
_space_group_name_H-M_alt 'P 1'
_space_group_IT_number 1
_space_group_name_Hall 'P 1'
_cell_length_a 4.684
_cell_length_b 4.684
_cell_length_c 5.059
_cell_angle_alpha 90.00
_cell_angle_beta 90.00
_cell_angle_gamma 90.00
loop_
_atom_site_label
_atom_site_type_symbol
_atom_site_fract_x
_atom_site_fract_y
_atom_site_fract_z
Hf1 Hf 0.000 0.000 0.000
Ni1 Ni 0.000 0.500 0.500
Ni2 Ni 0.500 0.000 0.500
H1 H 0.500 0.500 0.000
Au1 Au 0.000 0.000 0.500

***

Going by the energies, entry 1 is most stable and the next is 164.1 kJ/mol of atoms up.